# Al2TlCd2 PBE optimized geometry
# Raw total energy (eV/atom): -2.17
# E_form (eV/atom): 0.1704
data_Al2TlCd2
_chemical_formula_sum 'Al4 Tl2 Cd4'
_cell_length_a 4.3785
_cell_length_b 4.3785
_cell_length_c 12.4385
_cell_angle_alpha 90.00
_cell_angle_beta 90.00
_cell_angle_gamma 90.00
_space_group_name_H-M_alt 'I 4/m m m'
_space_group_IT_number 139
_space_group_name_Hall '-I 4 2'
loop_
_atom_site_label
_atom_site_fract_x
_atom_site_fract_y
_atom_site_fract_z
Al1 0.0000 0.0000 0.1038
Tl1 0.0000 0.0000 0.5000
Cd1 0.0000 0.5000 0.2500

***

# CsInPtCl6 PBE optimized geometry
# Raw total energy (eV/atom): -3.28
# Uncorrected formation energy (kJ/mol of formula units): -847
data_CsInPtCl6
_chemical_formula_sum 'Cs1 In1 Pt1 Cl6'
_cell_length_a 6.6727
_cell_length_b 6.6727
_cell_length_c 7.8739
_cell_angle_alpha 90.00
_cell_angle_beta 90.00
_cell_angle_gamma 120.00
_space_group_name_H-M_alt 'P 3 1 2'
_space_group_IT_number 149
loop_
_space_group_symop_operation_xyz
'x,y,z'
'-y,x-y,z'
'-x+y,-x,z'
'-y,-x,-z'
'-x+y,y,-z'
'x,x-y,-z'
loop_
_atom_site_label
_atom_site_fract_x
_atom_site_fract_y
_atom_site_fract_z
Cs1 0.0000 0.0000 0.0000
In1 0.6667 0.3333 0.5000
Pt1 0.3333 0.6667 0.5000
Cl1 0.0018 0.3705 0.6831

***

# LaThCdPd PBE optimized geometry
# Raw total energy (eV/atom): -4.96
# E_form (eV/atom): -0.3421
data_LaThCdPd
_chemical_formula_sum 'La4 Th4 Cd4 Pd4'
_cell_length_a 7.5301
_cell_length_b 7.5301
_cell_length_c 7.5301
_cell_angle_alpha 90.00
_cell_angle_beta 90.00
_cell_angle_gamma 90.00
_space_group_name_H-M_alt 'F -4 3 m'
_space_group_IT_number 216
_space_group_name_Hall 'F -4 2 3'
loop_
_atom_site_label
_atom_site_fract_x
_atom_site_fract_y
_atom_site_fract_z
La1 0.0000 0.0000 0.0000
Th1 0.0000 0.0000 0.5000
Cd1 0.2500 0.2500 0.7500
Pd1 0.2500 0.2500 0.2500